Record 1
{
  "formula": "SrPdBr",
  "functional": "GGA-PBE",
  "state": "relaxed",
  "spacegroup": "I4/mmm",
  "e_form_raw_ev_per_atom": -1.216,
  "polymorph_energy_mev_per_atom": 47,
  "lattice": [[-1.9844, 1.9844, 10.7772], [1.9844, -1.9844, 10.7772], [1.9844, 1.9844, -10.7772]],
  "species": ["Sr", "Sr", "Pd", "Pd", "Br", "Br"],
  "fractional_positions": [[0.1110, 0.1110, 0.0000], [0.8890, 0.8890, 0.0000], [0.0000, 0.5000, 0.5000], [0.5000, 0.0000, 0.5000], [0.3226, 0.3226, 0.0000], [0.6774, 0.6774, 0.0000]]
}



Record 2
{
  "formula": "SmTl2SbS4",
  "functional": "GGA-PBE",
  "state": "relaxed",
  "spacegroup": "Imma",
  "e_form_raw_ev_per_atom": -0.864,
  "lattice": [[-4.2243, 4.2385, 5.9907], [4.2243, -4.2385, 5.9907], [4.2243, 4.2385, -5.9907]],
  "species": ["Sm", "Sm", "Tl", "Tl", "Tl", "Tl", "Sb", "Sb", "S", "S", "S", "S", "S", "S", "S", "S"],
  "fractional_positions": [[0.5000, 0.0000, 0.0000], [0.5000, 0.5000, 0.5000], [0.0000, 0.0000, 0.0000], [0.0000, 0.0000, 0.5000], [0.0000, 0.5000, 0.0000], [0.5000, 0.0000, 0.5000], [0.0000, 0.5000, 0.5000], [0.5000, 0.5000, 0.0000], [0.2620, 0.7332, 0.5288], [0.2638, 0.2934, 0.5296], [0.2638, 0.7342, 0.9704], [0.2956, 0.2668, 0.0288], [0.7044, 0.7332, 0.9712], [0.7362, 0.2658, 0.0296], [0.7362, 0.7066, 0.4704], [0.7380, 0.2668, 0.4712]]
}



Record 3
{
  "formula": "SiTe2W",
  "functional": "GGA-PBE",
  "state": "relaxed",
  "spacegroup": "Pmmm",
  "e_form_raw_ev_per_atom": 1.037,
  "lattice": [[3.3593, 0.0000, 0.0000], [0.0000, 4.6247, 0.0000], [0.0000, 0.0000, 5.3322]],
  "species": ["Si", "Te", "Te", "W"],
  "fractional_positions": [[0.0000, 0.0000, 0.0000], [0.0000, 0.5000, 0.5000], [0.5000, 0.5000, 0.0000], [0.5000, 0.0000, 0.5000]]
}



Record 4
{
  "formula": "CaSiW",
  "functional": "GGA-PBE",
  "state": "relaxed",
  "spacegroup": "P-6m2",
  "e_form_raw_ev_per_atom": 0.402,
  "lattice": [[4.3483, 0.0000, 0.0000], [-2.1741, 3.7657, 0.0000], [0.0000, 0.0000, 3.7757]],
  "species": ["Ca", "Si", "W"],
  "fractional_positions": [[0.0000, 0.0000, 0.0000], [0.3333, 0.6667, 0.5000], [0.6667, 0.3333, 0.5000]]
}



Record 5
{
  "formula": "IrBrCl2",
  "functional": "GGA-PBE",
  "state": "relaxed",
  "spacegroup": "P4/mmm",
  "e_form_raw_ev_per_atom": 1.288,
  "polymorph_energy_mev_per_atom": 1695,
  "lattice": [[4.2744, 0.0000, 0.0000], [0.0000, 4.2744, 0.0000], [0.0000, 0.0000, 4.2394]],
  "species": ["Ir", "Br", "Cl", "Cl"],
  "fractional_positions": [[0.0000, 0.0000, 0.0000], [0.5000, 0.5000, 0.0000], [0.0000, 0.5000, 0.5000], [0.5000, 0.0000, 0.5000]]
}



Record 6
{
  "formula": "NaGaPb",
  "functional": "GGA-PBE",
  "state": "relaxed",
  "spacegroup": "P4/nmm",
  "formation_energy_mev_per_atom": -99,
  "lattice": [[4.6392, 0.0000, 0.0000], [0.0000, 4.6392, 0.0000], [0.0000, 0.0000, 7.6744]],
  "species": ["Na", "Na", "Ga", "Ga", "Pb", "Pb"],
  "fractional_positions": [[0.2500, 0.2500, 0.1747], [0.7500, 0.7500, 0.8253], [0.2500, 0.7500, 0.5000], [0.7500, 0.2500, 0.5000], [0.2500, 0.2500, 0.7412], [0.7500, 0.7500, 0.2588]]
}



Record 7
{
  "formula": "YPuGeIr",
  "functional": "GGA-PBE",
  "state": "relaxed",
  "spacegroup": "F-43m",
  "formation_energy_mev_per_atom": -487,
  "lattice": [[0.0000, 3.5095, 3.5095], [3.5095, 0.0000, 3.5095], [3.5095, 3.5095, 0.0000]],
  "species": ["Y", "Pu", "Ge", "Ir"],
  "fractional_positions": [[0.0000, 0.0000, 0.0000], [0.5000, 0.5000, 0.5000], [0.7500, 0.7500, 0.7500], [0.2500, 0.2500, 0.2500]]
}



Record 8
{
  "formula": "RbGeSb2I",
  "functional": "GGA-PBE",
  "state": "relaxed",
  "spacegroup": "P4/mmm",
  "e_form_raw_ev_per_atom": 1.249,
  "polymorph_energy_mev_per_atom": 1234,
  "lattice": [[6.3141, 0.0000, 0.0000], [0.0000, 6.3141, 0.0000], [0.0000, 0.0000, 6.3785]],
  "species": ["Rb", "Ge", "Sb", "Sb", "I"],
  "fractional_positions": [[0.0000, 0.0000, 0.0000], [0.5000, 0.5000, 0.5000], [0.0000, 0.5000, 0.0000], [0.5000, 0.0000, 0.0000], [0.0000, 0.0000, 0.5000]]
}



Record 9
{
  "formula": "Sm3Pd2Au7",
  "functional": "GGA-PBE",
  "state": "relaxed",
  "spacegroup": "Cmmm",
  "formation_energy_mev_per_atom": -562,
  "lattice": [[2.1217, -15.4960, 0.0000], [2.1217, 15.4960, 0.0000], [0.0000, 0.0000, 3.9591]],
  "species": ["Sm", "Sm", "Sm", "Pd", "Pd", "Au", "Au", "Au", "Au", "Au", "Au", "Au"],
  "fractional_positions": [[0.0000, 0.0000, 0.0000], [0.1765, 0.8235, 0.0000], [0.8235, 0.1765, 0.0000], [0.3627, 0.6373, 0.5000], [0.6373, 0.3627, 0.5000], [0.0788, 0.9212, 0.5000], [0.2774, 0.7226, 0.5000], [0.4256, 0.5744, 0.0000], [0.5000, 0.5000, 0.5000], [0.5744, 0.4256, 0.0000], [0.7226, 0.2774, 0.5000], [0.9212, 0.0788, 0.5000]]
}



Record 10
{
  "formula": "KCaMo4",
  "functional": "GGA-PBE",
  "state": "relaxed",
  "spacegroup": "F-43m",
  "formation_energy_mev_per_atom": 1004,
  "lattice": [[0.0000, 3.9506, 3.9506], [3.9506, 0.0000, 3.9506], [3.9506, 3.9506, 0.0000]],
  "species": ["K", "Ca", "Mo", "Mo", "Mo", "Mo"],
  "fractional_positions": [[0.0000, 0.0000, 0.0000], [0.2500, 0.2500, 0.2500], [0.1234, 0.6255, 0.6255], [0.6255, 0.1234, 0.6255], [0.6255, 0.6255, 0.1234], [0.6255, 0.6255, 0.6255]]
}



Record 11
{
  "formula": "ZrWBr2",
  "functional": "GGA-PBE",
  "state": "relaxed",
  "spacegroup": "P4/mmm",
  "e_form_raw_ev_per_atom": 0.759,
  "polymorph_energy_mev_per_atom": 827,
  "lattice": [[4.5510, 0.0000, 0.0000], [0.0000, 4.5510, 0.0000], [0.0000, 0.0000, 3.5712]],
  "species": ["Zr", "W", "Br", "Br"],
  "fractional_positions": [[0.0000, 0.0000, 0.0000], [0.5000, 0.5000, 0.0000], [0.0000, 0.5000, 0.5000], [0.5000, 0.0000, 0.5000]]
}



Record 12
{
  "formula": "ZnInGaPb",
  "functional": "GGA-PBE",
  "state": "relaxed",
  "spacegroup": "F-43m",
  "formation_energy_mev_per_atom": 102,
  "lattice": [[0.0000, 3.6301, 3.6301], [3.6301, 0.0000, 3.6301], [3.6301, 3.6301, 0.0000]],
  "species": ["Zn", "In", "Ga", "Pb"],
  "fractional_positions": [[0.0000, 0.0000, 0.0000], [0.7500, 0.7500, 0.7500], [0.5000, 0.5000, 0.5000], [0.2500, 0.2500, 0.2500]]
}



Record 13
{
  "formula": "LiTaGeRuI",
  "functional": "GGA-PBE",
  "state": "relaxed",
  "spacegroup": "P1",
  "e_form_raw_ev_per_atom": -0.038,
  "polymorph_energy_mev_per_atom": 178,
  "lattice": [[3.5179, 0.0000, 0.0000], [1.6598, 4.1895, 0.0000], [1.2763, 0.1034, 7.4177]],
  "species": ["Li", "Ta", "Ge", "Ru", "I"],
  "fractional_positions": [[0.0000, 0.0000, 0.0000], [0.5280, 0.1650, 0.6627], [0.7580, 0.5985, 0.8114], [0.2486, 0.7829, 0.5520], [0.3387, 0.2644, 0.2913]]
}



Record 14
{
  "formula": "Tb3HoRu2",
  "functional": "GGA-PBE",
  "state": "relaxed",
  "spacegroup": "Cmcm",
  "formation_energy_mev_per_atom": -324,
  "polymorph_energy_mev_per_atom": 0,
  "lattice": [[4.7996, -4.8052, 0.0000], [4.7996, 4.8052, 0.0000], [0.0000, 0.0000, 6.3514]],
  "species": ["Tb", "Tb", "Tb", "Tb", "Tb", "Tb", "Ho", "Ho", "Ru", "Ru", "Ru", "Ru"],
  "fractional_positions": [[0.0676, 0.5681, 0.2500], [0.0685, 0.9315, 0.7500], [0.4319, 0.9324, 0.2500], [0.5681, 0.0676, 0.7500], [0.9315, 0.0685, 0.2500], [0.9324, 0.4319, 0.7500], [0.4329, 0.5671, 0.7500], [0.5671, 0.4329, 0.2500], [0.2515, 0.2515, 0.0000], [0.2515, 0.2515, 0.5000], [0.7485, 0.7485, 0.0000], [0.7485, 0.7485, 0.5000]]
}



Record 15
{
  "formula": "CsTl2Se2",
  "functional": "GGA-PBE",
  "state": "relaxed",
  "spacegroup": "R-3m",
  "e_form_raw_ev_per_atom": -0.562,
  "polymorph_energy_mev_per_atom": 0,
  "lattice": [[2.2058, 1.2735, 10.5182], [-2.2058, 1.2735, 10.5182], [0.0000, -2.5471, 10.5182]],
  "species": ["Cs", "Tl", "Tl", "Se", "Se"],
  "fractional_positions": [[0.0000, 0.0000, 0.0000], [0.2052, 0.2052, 0.2052], [0.7948, 0.7948, 0.7948], [0.4150, 0.4150, 0.4150], [0.5850, 0.5850, 0.5850]]
}



no.,density of states at the Fermi level (states/eV/cell)
1,1.1
2,0.1
3,3.6
4,2.7
5,6.6
6,1.2
7,7.9
8,6.0
9,6.6
10,6.8
11,3.7
12,1.5
13,2.4
14,10.3
15,2.5